A plane-wave DFT calculation with PBE-GGA was carried out for an optimized crystal structure of KLiSb2.

Results
volume: 29.9 A^3/atom
magnetization: 0.0 μB per formula unit
energy relative to the elements, uncorrected: -1.28 eV per formula unit

```
KLiSb2
1.0
5.229 0.000 0.000
-2.615 6.249 0.000
0.000 0.000 7.310
Sb K Li
4 2 2
direct
0.617 0.235 0.050
0.617 0.235 0.450
0.383 0.765 0.550
0.383 0.765 0.950
0.075 0.150 0.750
0.925 0.850 0.250
0.197 0.394 0.250
0.803 0.606 0.750
```


A plane-wave DFT calculation with PBE-GGA was carried out for an optimized crystal structure of Be3InC.

Results
volume: 10.9 A^3/atom
magnetization: 0.0 μB per formula unit
DFT total energy: -4.081 eV/atom

```
Be3InC
1.0
3.797 0.000 0.000
0.000 3.797 0.000
0.000 0.000 3.797
Be C In
3 1 1
direct
0.000 0.000 0.500
0.500 0.000 0.000
0.000 0.500 0.000
0.000 0.000 0.000
0.500 0.500 0.500
```